(1)
Bi17W3O34 | SCAN | single point on PBEsol structure

POSCAR file:
```
Bi17W3O34
1.0
10.141 0.000 0.000
-2.843 9.737 0.000
-3.277 -5.124 8.282
Bi W O
17 3 34
Cartesian
0.000 0.000 0.000 Bi
-2.703 2.056 3.845 Bi
-3.773 5.799 5.325 Bi
-0.447 3.543 1.100 Bi
-1.326 7.326 2.298 Bi
-1.451 -0.192 6.745 Bi
0.787 0.957 3.669 Bi
-2.235 3.405 7.924 Bi
3.122 2.545 0.953 Bi
1.977 -1.535 6.239 Bi
2.611 6.140 1.942 Bi
4.341 -0.135 3.252 Bi
1.547 1.942 7.391 Bi
3.502 3.449 4.633 Bi
6.805 1.124 0.336 Bi
5.804 -2.651 5.706 Bi
6.266 4.945 1.685 Bi
0.057 4.425 4.664 W
5.267 0.780 6.728 W
8.143 -1.373 3.178 W
-3.636 -0.935 6.841 O
-0.467 -0.531 2.225 O
-3.224 7.153 3.593 O
-1.574 0.208 4.435 O
-3.100 1.530 6.835 O
1.094 1.735 1.052 O
-0.463 2.832 3.297 O
-0.700 5.428 3.237 O
-1.507 3.947 5.516 O
-0.182 -2.557 6.923 O
1.670 4.491 0.783 O
0.932 7.507 1.677 O
2.243 -1.147 3.882 O
0.863 0.240 5.876 O
-0.543 1.816 7.954 O
1.102 2.939 5.391 O
4.393 0.595 1.065 O
2.965 1.782 3.252 O
1.916 4.772 3.745 O
0.443 5.766 5.816 O
4.946 4.402 0.113 O
4.027 -0.509 6.093 O
1.862 4.046 7.907 O
6.173 -1.654 3.476 O
5.018 7.241 1.736 O
5.085 4.420 3.440 O
5.487 1.189 4.751 O
7.204 0.355 2.350 O
4.205 2.270 6.871 O
7.190 2.982 1.730 O
5.581 -3.262 8.079 O
4.301 5.319 6.114 O
8.327 5.562 0.277 O
7.913 -2.236 4.970 O
```

As for the space group: P1, No. 1.

(2)
GaCo3F | SCAN | single point on PBEsol structure

POSCAR file:
```
GaCo3F
1.0
3.912 0.000 0.000
0.000 3.912 0.000
0.000 0.000 3.912
Ga Co F
1 3 1
Cartesian
0.000 0.000 0.000 Ga
0.000 1.956 1.956 Co
1.956 0.000 1.956 Co
1.956 1.956 0.000 Co
1.956 1.956 1.956 F
```

As for the space group: Pm-3m, No. 221.

(3)
U3Si4Ni4 | SCAN | single point on PBEsol structure

POSCAR file:
```
U3Si4Ni4
1.0
-1.899 1.939 11.612
1.899 -1.939 11.612
1.899 1.939 -11.612
U Si Ni
3 4 4
Cartesian
0.000 0.000 0.000 U
1.899 0.000 8.219 U
0.000 1.939 3.393 U
1.899 0.000 4.571 Si
0.000 0.000 10.448 Si
0.000 0.000 12.776 Si
0.000 1.939 7.041 Si
1.899 0.000 2.307 Ni
0.000 0.000 5.813 Ni
0.000 0.000 17.411 Ni
0.000 1.939 9.305 Ni
```

As for the space group: Immm, No. 71.

(4)
NiRhS3 | SCAN | single point on PBEsol structure

POSCAR file:
```
NiRhS3
1.0
4.296 0.000 0.000
0.000 4.296 0.000
0.000 0.000 4.296
Ni Rh S
1 1 3
Cartesian
0.000 0.000 0.000 Ni
2.148 2.148 2.148 Rh
0.000 0.000 2.148 S
0.000 2.148 0.000 S
2.148 0.000 0.000 S
```

As for the space group: Pm-3m, No. 221.

no.,mass density (g cm⁻³),E_form (uncorrected) (eV/atom)
1,9.439,-1.354
2,7.362,0.075
3,10.304,-0.384
4,5.398,0.740